Here is crystalline Mn3AgPb2O8 at its relaxed geometry from the Alexandria database. Energies are from PBE+U.

Space-group type = Cm
VASP energy = -0.2320 hartree per atom
Spin magnetization = 10.00 μB per formula unit

Lattice parameters (Å, degrees): 5.9926 6.2341 6.9153 63.32 64.32 61.27
Last column: nearest neighbours and their distance in Å.
Element x y z (fractional)
Mn: 0.5001 0.5012 0.9997  6 O 1.96-2.01
O: 0.2324 0.2456 0.8377  2 Mn 1.96-1.97
O: 0.3108 0.7560 0.1623  2 Mn 1.96
O: 0.7709 0.7560 0.1623  2 Mn 1.96
Pb: 0.1136 0.1224 0.6505  3 O 2.23-2.28
Mn: 0.9989 0.5012 0.9997  6 O 1.96-2.01
O: 0.7561 0.3085 0.1792  2 Mn 1.97
Mn: 0.4972 0.9993 0.0064  4 O 1.96-1.97
O: 0.7508 0.6938 0.8045  2 Mn 2.01
Pb: 0.5074 0.5088 0.4763  6 O 2.42-2.65
O: 0.6843 0.2456 0.8377  2 Mn 1.96-1.97
Ag: 0.8725 0.8487 0.4064  4 O 2.37-2.48
O: 0.2462 0.6886 0.8190  2 Mn 1.97
O: 0.2514 0.3170 0.1802  2 Mn 1.96